SbMo2Rh: relaxed, PBE.

The energy relative to the elements, uncorrected comes out at 78 meV/atom. Its total DFT energy (no corrections) is -8.206 eV per atom.

Lattice parameters (Å, degrees): 9.6620 3.1491 4.5012 90.00 102.27 90.00
Closest atoms and distances in Å follow each position.
Space group C2/m (No. 12)
Unique sites:
Sb1 0.0000 0.0000 0.0000  4 Rh 2.75, 6 Mo 2.89-2.95
Mo1 0.2460 0.0000 0.7295  4 Mo 2.61-2.89, 3 Rh 2.86, 1 Sb 2.89
Rh1 0.0000 0.5000 0.5000  4 Sb 2.75, 6 Mo 2.86

=====

SbMo2Rh: relaxed, PBE.

The energy relative to the elements, uncorrected comes out at 157 meV/atom. Its total DFT energy (no corrections) is -8.127 eV per atom.

Lattice parameters (Å, degrees): 2.9771 4.2294 5.3288 90.00 90.10 90.00
Closest atoms and distances in Å follow each position.
Space group P2/m (No. 10)
Unique sites:
Sb1 0.0000 0.0000 0.0000  2 Rh 2.66, 8 Mo 2.95-2.96, 2 Sb 2.98
Mo1 0.4987 0.5000 0.2691  1 Mo 2.46
Rh1 0.0000 0.0000 0.5000  2 Sb 2.66, 8 Mo 2.86, 2 Rh 2.98

=====

SbMo2Rh: relaxed, PBE.

The energy relative to the elements, uncorrected comes out at 359 meV/atom. Its total DFT energy (no corrections) is -7.925 eV per atom.

Lattice parameters (Å, degrees): 2.9561 2.9561 26.8693 90.00 90.00 120.00
Closest atoms and distances in Å follow each position.
Space group R-3m (No. 166, hexagonal axes)
Unique sites:
Sb1 0.0000 0.0000 0.0000  6 Mo 2.89, 6 Sb 2.96
Mo1 0.0000 0.0000 0.2465  3 Rh 2.74, 3 Sb 2.89, 6 Mo 2.96
Rh1 0.0000 0.0000 0.5000  6 Mo 2.74, 6 Rh 2.96

=====

SbMo2Rh: relaxed, PBE.

The energy relative to the elements, uncorrected comes out at 96 meV/atom. Its total DFT energy (no corrections) is -8.188 eV per atom.

Lattice parameters (Å, degrees): 3.8067 3.8067 4.5772 90.00 90.00 90.00
Closest atoms and distances in Å follow each position.
Space group P4/mmm (No. 123)
Unique sites:
Sb1 0.0000 0.0000 0.0000  4 Rh 2.69, 8 Mo 2.98
Mo1 0.0000 0.5000 0.5000  4 Mo 2.69, 4 Sb 2.98, 4 Rh 2.98
Rh1 0.5000 0.5000 0.0000  4 Sb 2.69, 8 Mo 2.98

=====

SbMo2Rh: relaxed, PBE.

The energy relative to the elements, uncorrected comes out at 128 meV/atom. Its total DFT energy (no corrections) is -8.156 eV per atom.

Lattice parameters (Å, degrees): 2.8883 4.3393 5.4436 90.00 99.99 90.00
Closest atoms and distances in Å follow each position.
Space group Pm (No. 6)
Unique sites:
Sb1 0.0000 0.0000 0.0000  2 Rh 2.58, 1 Mo 2.75
Mo1 0.3333 0.0000 0.5058  4 Mo 2.72-2.89, 3 Sb 2.75-3.02, 4 Rh 2.89-2.90
Mo2 0.5739 0.5000 0.2533  1 Rh 2.66, 4 Mo 2.72-2.89, 4 Sb 2.93-2.95
Rh1 0.9150 0.5000 0.7405  2 Sb 2.58, 1 Mo 2.66

=====

SnSb2MoRh: relaxed, PBE.

The energy relative to the elements, uncorrected comes out at 1458 meV/atom. Its total DFT energy (no corrections) is -4.628 eV per atom.

Lattice parameters (Å, degrees): 5.5202 5.5202 4.8469 90.00 90.00 90.00
Closest atoms and distances in Å follow each position.
Space group P4/mmm (No. 123)
Unique sites:
Sn1 0.0000 0.0000 0.0000  2 Rh 2.42
Sb1 0.0000 0.5000 0.0000  2 Sn 2.76
Mo1 0.5000 0.5000 0.5000  8 Sb 3.67, 4 Rh 3.90
Rh1 0.0000 0.0000 0.5000  2 Sn 2.42

=====

SbTe2MoRh: relaxed, PBE.

The distance to the lowest polymorph of the same formula comes out at 0.000 eV per atom. The energy relative to the elements, uncorrected comes out at 871 meV/atom. Its total DFT energy (no corrections) is -4.846 eV per atom.

Lattice parameters (Å, degrees): 5.3278 5.3278 4.9015 90.00 90.00 90.00
Closest atoms and distances in Å follow each position.
Space group P4/mmm (No. 123)
Unique sites:
Sb1 0.0000 0.0000 0.0000  2 Rh 2.45
Te1 0.0000 0.5000 0.5000  2 Rh 2.66
Mo1 0.5000 0.5000 0.0000  8 Te 3.62, 4 Sb 3.77
Rh1 0.0000 0.0000 0.5000  2 Sb 2.45, 4 Te 2.66

=====

SbTe2MoRh: relaxed, PBE.

The distance to the lowest polymorph of the same formula comes out at 0.082 eV per atom. The energy relative to the elements, uncorrected comes out at 953 meV/atom. Its total DFT energy (no corrections) is -4.765 eV per atom.

Lattice parameters (Å, degrees): 5.1852 5.1852 5.1963 90.00 90.00 90.00
Closest atoms and distances in Å follow each position.
Space group P4/mmm (No. 123)
Unique sites:
Sb1 0.0000 0.0000 0.0000  2 Mo 2.60
Te1 0.0000 0.5000 0.5000  2 Mo 2.59
Mo1 0.0000 0.0000 0.5000  4 Te 2.59, 2 Sb 2.60
Rh1 0.5000 0.5000 0.0000  4 Sb 3.67, 8 Te 3.67

=====

SbTeMoRh2: relaxed, PBE.

The energy relative to the elements, uncorrected comes out at 996 meV/atom. Its total DFT energy (no corrections) is -5.564 eV per atom.

Lattice parameters (Å, degrees): 4.8231 4.8231 5.0306 90.00 90.00 90.00
Closest atoms and distances in Å follow each position.
Space group P4/mmm (No. 123)
Unique sites:
Sb1 0.0000 0.0000 0.0000  4 Mo 3.41, 8 Rh 3.48
Te1 0.5000 0.5000 0.5000  4 Rh 2.41, 2 Mo 2.52
Mo1 0.5000 0.5000 0.0000  2 Te 2.52
Rh1 0.0000 0.5000 0.5000  2 Te 2.41

=====

TiSbMoRh: relaxed, PBE.

The energy relative to the elements, uncorrected comes out at -361 meV/atom. Its total DFT energy (no corrections) is -7.911 eV per atom.

Lattice parameters (Å, degrees): 6.3866 6.3866 6.3866 90.00 90.00 90.00
Closest atoms and distances in Å follow each position.
Space group F-43m (No. 216)
Unique sites:
Ti1 0.0000 0.0000 0.0000  4 Mo 2.77, 4 Rh 2.77
Sb1 0.0000 0.0000 0.5000  4 Rh 2.77, 4 Mo 2.77
Mo1 0.2500 0.2500 0.2500  4 Sb 2.77, 4 Ti 2.77
Rh1 0.2500 0.2500 0.7500  4 Sb 2.77, 4 Ti 2.77

=====

Zr2SbMoRh: relaxed, PBE.

The energy relative to the elements, uncorrected comes out at 757 meV/atom. Its total DFT energy (no corrections) is -7.124 eV per atom.

Lattice parameters (Å, degrees): 4.9473 4.9473 5.0273 90.00 90.00 90.00
Closest atoms and distances in Å follow each position.
Space group P4/mmm (No. 123)
Unique sites:
Zr1 0.0000 0.5000 0.0000  2 Mo 2.47
Sb1 0.0000 0.0000 0.5000  2 Mo 2.51
Mo1 0.0000 0.0000 0.0000  4 Zr 2.47, 2 Sb 2.51
Rh1 0.5000 0.5000 0.5000  4 Sb 3.50, 8 Zr 3.53

=====

Sc2MoRh: relaxed, PBE.

Its total DFT energy (no corrections) is -7.828 eV per atom.

Lattice parameters (Å, degrees): 3.0760 3.0760 26.2918 90.00 90.00 120.00
Closest atoms and distances in Å follow each position.
Space group R-3m (No. 166, hexagonal axes)
Unique sites:
Sc1 0.0000 0.0000 0.2452  3 Rh 2.72, 3 Mo 2.92
Mo1 0.0000 0.0000 0.0000  6 Sc 2.92, 6 Mo 3.08
Rh1 0.0000 0.0000 0.5000  6 Sc 2.72

=====

Sc2MoRh: relaxed, PBE.

Its total DFT energy (no corrections) is -7.549 eV per atom.

Lattice parameters (Å, degrees): 3.0071 3.0071 28.3935 90.00 90.00 120.00
Closest atoms and distances in Å follow each position.
Space group R-3m (No. 166, hexagonal axes)
Unique sites:
Sc1 0.0000 0.0000 0.0853  1 Rh 2.42
Mo1 0.0000 0.0000 0.5000  6 Sc 2.89, 6 Mo 3.01
Rh1 0.0000 0.0000 0.0000  2 Sc 2.42

=====

Sc2MoRh: relaxed, PBE.

Its total DFT energy (no corrections) is -7.894 eV per atom.

Lattice parameters (Å, degrees): 5.9570 8.5457 2.9597 90.00 111.44 90.00
Closest atoms and distances in Å follow each position.
Space group C2/m (No. 12)
Unique sites:
Sc1 0.2500 0.2500 0.0000  2 Mo 2.71, 2 Rh 2.71, 4 Sc 2.96-2.98
Mo1 0.0000 0.0000 0.5000  4 Sc 2.71, 2 Mo 2.96, 2 Rh 2.98
Rh1 0.0000 0.5000 0.5000  4 Sc 2.71, 2 Rh 2.96, 2 Mo 2.98

=====

Sc2MoRh: relaxed, PBE.

Its total DFT energy (no corrections) is -8.033 eV per atom.

Lattice parameters (Å, degrees): 3.1200 3.2645 6.9196 90.00 90.00 90.00
Closest atoms and distances in Å follow each position.
Space group Pmmm (No. 47)
Unique sites:
Sc1 0.0000 0.0000 0.2370  4 Rh 2.79, 4 Mo 2.90, 2 Sc 3.12
Mo1 0.5000 0.5000 0.5000  8 Sc 2.90, 2 Mo 3.12
Rh1 0.5000 0.5000 0.0000  8 Sc 2.79, 2 Rh 3.12

=====

Sc2MoRh: relaxed, PBE.

Its total DFT energy (no corrections) is -7.800 eV per atom.

Lattice parameters (Å, degrees): 2.9584 4.4753 5.4048 90.00 90.00 90.00
Closest atoms and distances in Å follow each position.
Space group Pmm2 (No. 25)
Unique sites:
Sc1 0.0000 0.0000 0.0000  2 Mo 2.61-2.79
Sc2 0.5000 0.5000 0.2996  2 Rh 2.61-2.79
Mo1 0.0000 0.0000 0.5170  2 Sc 2.61-2.79
Rh1 0.5000 0.5000 0.7827  2 Sc 2.61-2.79

=====

Sc2MoRh: relaxed, PBE.

Its total DFT energy (no corrections) is -7.813 eV per atom.

Lattice parameters (Å, degrees): 8.5843 2.9884 5.6384 90.00 98.96 90.00
Closest atoms and distances in Å follow each position.
Space group C2/m (No. 12)
Unique sites:
Sc1 0.2426 0.0000 0.2463  3 Mo 2.70-2.86, 3 Rh 2.76-2.79, 2 Sc 2.99
Mo1 0.0000 0.0000 0.5000  6 Sc 2.70-2.86, 2 Mo 2.99
Rh1 0.0000 0.5000 0.0000  6 Sc 2.76-2.79, 2 Rh 2.99

=====

Sc3MoRh: relaxed, PBE.

The distance to the lowest polymorph of the same formula comes out at 0.000 eV per atom. Its total DFT energy (no corrections) is -7.047 eV per atom.

Lattice parameters (Å, degrees): 4.8695 4.8695 4.8695 90.00 90.00 90.00
Closest atoms and distances in Å follow each position.
Space group Pm-3m (No. 221)
Unique sites:
Sc1 0.0000 0.0000 0.5000  2 Rh 2.43
Mo1 0.5000 0.5000 0.5000  12 Sc 3.44
Rh1 0.0000 0.0000 0.0000  6 Sc 2.43

=====

Sc2MoRh: relaxed, PBE.

Its total DFT energy (no corrections) is -7.566 eV per atom.

Lattice parameters (Å, degrees): 7.2444 7.2444 5.7204 90.00 90.00 90.00
Closest atoms and distances in Å follow each position.
Space group I-42d (No. 122)
Unique sites:
Sc1 0.2254 0.7500 0.1250  2 Rh 2.54, 2 Mo 2.78
Mo1 0.0000 0.0000 0.5000  4 Sc 2.78, 2 Rh 2.86
Rh1 0.0000 0.0000 0.0000  4 Sc 2.54

=====

Sc2MoRh: relaxed, PBE.

Its total DFT energy (no corrections) is -7.888 eV per atom.

Lattice parameters (Å, degrees): 2.9673 4.6042 5.3851 90.00 104.20 90.00
Closest atoms and distances in Å follow each position.
Space group Pm (No. 6)
Unique sites:
Sc1 0.0000 0.0000 0.0000  2 Rh 2.68-2.81, 2 Mo 2.85, 2 Sc 2.97
Sc2 0.2487 0.5000 0.6954  2 Mo 2.68-2.81, 2 Rh 2.82, 2 Sc 2.97
Mo1 0.6884 0.5000 0.2218  4 Sc 2.68-2.85, 2 Rh 2.77, 2 Mo 2.97
Rh1 0.5415 0.0000 0.4773  4 Sc 2.68-2.82, 2 Mo 2.77, 2 Rh 2.97